Entry 1:
First-principles (PBE) data for a relaxed BaCu4Pd8 crystal, as listed in Alexandria via LeMat-Bulk.

abc: 6.9422 6.9422 6.9422
angles: 97.55 97.55 137.49
Fractional coordinates of all 13 atoms:
Ba 0.0000 0.0000 0.0000
Cu 0.0000 0.0000 0.5000
Cu 0.0000 0.5000 0.0000
Cu 0.5000 0.0000 0.0000
Cu 0.5000 0.5000 0.5000
Pd 0.0000 0.3538 0.3538
Pd 0.0000 0.6462 0.6462
Pd 0.2738 0.5000 0.7738
Pd 0.3538 0.0000 0.3538
Pd 0.5000 0.2738 0.7738
Pd 0.5000 0.7262 0.2262
Pd 0.6462 0.0000 0.6462
Pd 0.7262 0.5000 0.2262

Results
* M_tot: 0.00 μB per cell
* final energy: -4.7849 eV/atom
* DFT formation energy: -0.181 eV per atom
* Fermi-level density of states: 11.8 states/eV/f.u.
* volume: 210.7 Å³/f.u.
* symmetry: I4/mmm, No. 139

---

Entry 2:
First-principles (PBE) data for a relaxed BaCuPd crystal, as listed in Alexandria via LeMat-Bulk.

abc: 4.4488 4.4488 4.5533
angles: 90.00 90.00 120.00
Fractional coordinates of all 3 atoms:
Ba 0.0000 0.0000 0.0000
Cu 0.3333 0.6667 0.5000
Pd 0.6667 0.3333 0.5000

Results
* M_tot: 0.00 μB per cell
* final energy: -4.0451 eV/atom
* ΔE to the lowest computed polymorph: 0.00 kcal/mol of atoms
* DFT formation energy: -0.308 eV per atom
* Fermi-level density of states: 1.5 states/eV/f.u.
* volume: 78.0 Å³/f.u.
* symmetry: P-6m2, No. 187

---

Entry 3:
First-principles (PBE) data for a relaxed Ba2CuPd2 crystal, as listed in Alexandria via LeMat-Bulk.

abc: 6.1329 6.1329 6.1329
angles: 135.15 123.25 75.10
Fractional coordinates of all 5 atoms:
Ba 0.1909 0.1909 0.0000
Ba 0.8091 0.8091 0.0000
Cu 0.5000 0.0000 0.5000
Pd 0.2612 0.5000 0.7612
Pd 0.7388 0.5000 0.2388

Results
* M_tot: 0.00 μB per cell
* final energy: -4.0593 eV/atom
* ΔE to the lowest computed polymorph: 0.00 kcal/mol of atoms
* DFT formation energy: -0.394 eV per atom
* Fermi-level density of states: 1.7 states/eV/f.u.
* volume: 132.6 Å³/f.u.
* symmetry: Immm, No. 71

---

Entry 4:
First-principles (PBE) data for a relaxed Ba2CuPd3 crystal, as listed in Alexandria via LeMat-Bulk.

abc: 6.9110 6.9110 6.9110
angles: 141.14 130.79 64.41
Fractional coordinates of all 6 atoms:
Ba 0.1826 0.1826 0.0000
Ba 0.8174 0.8174 0.0000
Cu 0.5000 0.5000 0.0000
Pd 0.0000 0.5000 0.5000
Pd 0.3876 0.8876 0.5000
Pd 0.6124 0.1124 0.5000

Results
* M_tot: 0.00 μB per cell
* final energy: -4.0660 eV/atom
* DFT formation energy: -0.146 eV per atom
* Fermi-level density of states: 2.8 states/eV/f.u.
* volume: 154.7 Å³/f.u.
* symmetry: Immm, No. 71

---

Entry 5:
First-principles (PBE) data for a relaxed BaCuPd2 crystal, as listed in Alexandria via LeMat-Bulk.

abc: 4.9430 4.9430 4.9430
angles: 60.00 60.00 60.00
Fractional coordinates of all 4 atoms:
Ba 0.0000 0.0000 0.0000
Cu 0.5000 0.5000 0.5000
Pd 0.2500 0.2500 0.2500
Pd 0.7500 0.7500 0.7500

Results
* M_tot: 0.00 μB per cell
* final energy: -4.0743 eV/atom
* ΔE to the lowest computed polymorph: 4.53 kcal/mol of atoms
* DFT formation energy: 0.027 eV per atom
* Fermi-level density of states: 2.0 states/eV/f.u.
* volume: 85.4 Å³/f.u.
* symmetry: Fm-3m, No. 225

---

Entry 6:
First-principles (PBE) data for a relaxed Ba5CuPd crystal, as listed in Alexandria via LeMat-Bulk.

abc: 7.9395 7.9395 12.2648
angles: 106.49 106.49 79.93
Fractional coordinates of all 14 atoms:
Ba 0.0754 0.7234 0.3562
Ba 0.2440 0.7560 0.7500
Ba 0.2718 0.3576 0.9894
Ba 0.2766 0.9246 0.1438
Ba 0.3576 0.2718 0.4894
Ba 0.6424 0.7282 0.5106
Ba 0.7234 0.0754 0.8562
Ba 0.7282 0.6424 0.0106
Ba 0.7560 0.2440 0.2500
Ba 0.9246 0.2766 0.6438
Cu 0.4300 0.5700 0.2500
Cu 0.5700 0.4300 0.7500
Pd 0.0000 0.5000 0.5000
Pd 0.5000 0.0000 0.0000

Results
* M_tot: 0.00 μB per cell
* final energy: -2.7984 eV/atom
* DFT formation energy: -0.098 eV per atom
* Fermi-level density of states: 6.1 states/eV/f.u.
* volume: 353.5 Å³/f.u.
* symmetry: C2/c, No. 15

---

Entry 7:
First-principles (PBE) data for a relaxed Ba2Cu2Pd crystal, as listed in Alexandria via LeMat-Bulk.

abc: 8.7036 8.7036 4.0330
angles: 90.00 90.00 90.00
Fractional coordinates of all 10 atoms:
Ba 0.1885 0.3115 0.0000
Ba 0.3115 0.8115 0.0000
Ba 0.6885 0.1885 0.0000
Ba 0.8115 0.6885 0.0000
Cu 0.0995 0.5995 0.5000
Cu 0.4005 0.0995 0.5000
Cu 0.5995 0.9005 0.5000
Cu 0.9005 0.4005 0.5000
Pd 0.0000 0.0000 0.0000
Pd 0.5000 0.5000 0.0000

Results
* M_tot: 0.00 μB per cell
* final energy: -3.3051 eV/atom
* ΔE to the lowest computed polymorph: 8.12 kcal/mol of atoms
* DFT formation energy: 0.141 eV per atom
* Fermi-level density of states: 0.6 states/eV/f.u.
* volume: 152.8 Å³/f.u.
* symmetry: P4/mbm, No. 127

---

Entry 8:
First-principles (PBE) data for a relaxed BaCuPd crystal, as listed in Alexandria via LeMat-Bulk.

abc: 9.2518 9.2518 8.6210
angles: 93.46 93.46 26.63
Fractional coordinates of all 12 atoms:
Ba 0.0832 0.0832 0.1779
Ba 0.3855 0.3855 0.3823
Ba 0.6145 0.6145 0.6177
Ba 0.9168 0.9168 0.8221
Cu 0.2671 0.2671 0.0727
Cu 0.2678 0.2678 0.7502
Cu 0.7322 0.7322 0.2498
Cu 0.7329 0.7329 0.9273
Pd 0.1436 0.1436 0.8779
Pd 0.2185 0.2185 0.4207
Pd 0.7815 0.7815 0.5793
Pd 0.8564 0.8564 0.1221

Results
* M_tot: 0.00 μB per cell
* final energy: -3.9110 eV/atom
* ΔE to the lowest computed polymorph: 3.09 kcal/mol of atoms
* DFT formation energy: -0.174 eV per atom
* Fermi-level density of states: 1.4 states/eV/f.u.
* volume: 82.5 Å³/f.u.
* symmetry: C2/m, No. 12